No. 1
VASP calculation (PBE) on a relaxed GaSiC crystal.

a b c (Å): 5.122 5.122 6.188
angles (deg): 117.34 117.34 36.58
Element x y z (fractional)
Ga 0.000 0.000 0.000
Ga 0.229 0.229 0.536
Si 0.410 0.410 0.360
Si 0.656 0.656 0.911
C 0.624 0.624 0.596
C 0.867 0.867 0.164

Theoretical density (g cm⁻³): 4.31
SG: Cm, No. 8
E_form (uncorrected) (kcal/mol of atoms): 6.38

---

No. 2
VASP calculation (PBE) on a relaxed ScPbBr2 crystal.

a b c (Å): 5.395 5.395 5.395
angles (deg): 60.00 60.00 60.00
Element x y z (fractional)
Sc 0.000 0.000 0.000
Pb 0.250 0.250 0.250
Br 0.500 0.500 0.500
Br 0.750 0.750 0.750

Theoretical density (g cm⁻³): 6.16
SG: F-43m, No. 216
E_form (uncorrected) (kcal/mol of atoms): -4.23